A relaxed La4Pd3Pt crystal, computed with PBE.

Cell lengths 3.9774, 4.6462, 11.1481 Å; angles 90.00, 90.00, 90.00 degrees
Last column: nearest neighbours and their distance in Å.
Atoms (fractional coordinates):
Pd 0.0000 0.0000 0.4129  2 Pd 3.03, 7 La 3.10-3.17
Pd 0.0000 0.5000 0.5874  2 Pd 3.03, 7 La 3.10-3.20
Pd 0.5000 0.0000 0.9099  7 La 3.07-3.20, 2 Pt 3.07
La 0.5000 0.0000 0.6344  7 Pd 3.07-3.17
La 0.0000 0.0000 0.1350  3 Pd 3.10-3.20, 4 Pt 3.10
La 0.0000 0.5000 0.8682  5 Pd 3.09-3.13, 2 Pt 3.18
La 0.5000 0.5000 0.3619  1 Pt 3.03, 6 Pd 3.11-3.20
Pt 0.5000 0.5000 0.0904  7 La 3.03-3.18, 2 Pd 3.07

Output
Formation enthalpy at 0 K: -0.9253 eV per atom
SG: No. 25

A relaxed LaPd2Pt3 crystal, computed with PBE.

Cell lengths 5.3639, 6.6468, 6.6468 Å; angles 92.38, 90.00, 90.00 degrees
Last column: nearest neighbours and their distance in Å.
Atoms (fractional coordinates):
Pd 0.0000 0.2521 0.7479  6 Pt 2.68-2.78, 2 Pd 2.68
Pd 0.0000 0.7479 0.2521  6 Pt 2.68-2.78, 2 Pd 2.68
Pd 0.5000 0.7479 0.2521  6 Pt 2.68-2.78, 2 Pd 2.68
Pd 0.5000 0.2521 0.7479  6 Pt 2.68-2.78, 2 Pd 2.68
La 0.7500 0.7093 0.7093  7 Pt 2.95-3.29
La 0.2500 0.2907 0.2907  7 Pt 2.95-3.29
Pt 0.7500 0.0578 0.4496  4 Pd 2.68-2.75, 3 Pt 2.77-2.88, 1 La 2.95
Pt 0.2500 0.5504 0.9422  4 Pd 2.68-2.75, 3 Pt 2.77-2.88, 1 La 2.95
Pt 0.7500 0.4496 0.0578  4 Pd 2.68-2.75, 3 Pt 2.77-2.88, 1 La 2.95
Pt 0.2500 0.9422 0.5504  4 Pd 2.68-2.75, 3 Pt 2.77-2.88, 1 La 2.95
Pt 0.2500 0.9674 0.9674  4 Pt 2.75-2.77, 4 Pd 2.78, 1 La 2.98
Pt 0.7500 0.0326 0.0326  4 Pt 2.75-2.77, 4 Pd 2.78, 1 La 2.98

Output
Formation enthalpy at 0 K: -0.4946 eV per atom
SG: No. 63

A relaxed La2PdPt crystal, computed with PBE.

Cell lengths 4.2615, 4.2615, 7.3969 Å; angles 73.26, 73.26, 60.00 degrees
Last column: nearest neighbours and their distance in Å.
Atoms (fractional coordinates):
Pd 0.0000 0.0000 0.0000  6 La 3.04
Pt 0.5000 0.5000 0.5000  6 La 2.99
La 0.7519 0.7519 0.7442  3 Pt 2.99, 3 Pd 3.04
La 0.2481 0.2481 0.2558  3 Pt 2.99, 3 Pd 3.04

Output
Formation enthalpy at 0 K: -0.9715 eV per atom
SG: No. 166

A relaxed La2Pd3Pt crystal, computed with PBE.

Cell lengths 4.5616, 4.5616, 15.2155 Å; angles 90.00, 90.00, 120.00 degrees
Last column: nearest neighbours and their distance in Å.
Atoms (fractional coordinates):
Pd 0.6667 0.3333 0.2500  3 Pt 2.63
Pd 0.3333 0.6667 0.0017  3 Pd 2.63
Pd 0.3333 0.6667 0.4983  3 Pd 2.63
Pd 0.6667 0.3333 0.5017  3 Pd 2.63
Pd 0.3333 0.6667 0.7500  3 Pt 2.63
Pd 0.6667 0.3333 0.9983  3 Pd 2.63
La 0.0000 0.0000 0.1257  9 Pd 3.24-3.27, 3 Pt 3.24
La 0.0000 0.0000 0.6257  9 Pd 3.24-3.27, 3 Pt 3.24
La 0.0000 0.0000 0.8743  9 Pd 3.24-3.27, 3 Pt 3.24
La 0.0000 0.0000 0.3743  9 Pd 3.24-3.27, 3 Pt 3.24
Pt 0.6667 0.3333 0.7500  3 Pd 2.63
Pt 0.3333 0.6667 0.2500  3 Pd 2.63

Output
Formation enthalpy at 0 K: -0.8152 eV per atom
SG: No. 194

> Among the records above, which one has the lowest formation enthalpy at 0 K?

La2PdPt